Run i
! BaZn3Ga, relaxed, DFT PBE; values from VASP
! Symmetry   Pm-3m, No. 221
! ρ   2953 kg/m3
&SYSTEM
  ibrav = 0, nat = 5, ntyp = 3
/
ATOMIC_SPECIES
Zn 65.41 Zn.upf
Ga 69.72 Ga.upf
Ba 137.33 Ba.upf
CELL_PARAMETERS angstrom
-1.525 -5.757 1.310
5.030 -0.558 3.402
-3.092 1.931 4.888
ATOMIC_POSITIONS crystal
Zn 0.000 0.500 0.000
Ga 0.500 0.500 0.500
Ba 0.000 0.000 0.000
Zn 0.500 0.000 0.000
Zn 0.000 0.000 0.500

Run ii
! BaZn3Ga, relaxed, DFT PBE; values from VASP
! Symmetry   Cmcm, No. 63
! ρ   5750 kg/m3
&SYSTEM
  ibrav = 0, nat = 10, ntyp = 3
/
ATOMIC_SPECIES
Ga 69.72 Ga.upf
Zn 65.41 Zn.upf
Ba 137.33 Ba.upf
CELL_PARAMETERS angstrom
-2.315 -5.325 0.755
5.822 -2.144 2.735
-4.829 2.659 3.945
ATOMIC_POSITIONS crystal
Ga 0.500 0.000 0.000
Zn 0.750 0.197 0.394
Zn 0.250 0.803 0.197
Ba 0.750 0.667 0.334
Ga 0.000 0.000 0.000
Zn 0.250 0.803 0.606
Zn 0.750 0.606 0.803
Zn 0.250 0.394 0.197
Zn 0.750 0.197 0.803
Ba 0.250 0.333 0.666

Run iii
! BaZn3Ga, relaxed, DFT PBE; values from VASP
! Symmetry   Cm, No. 8
! ρ   5908 kg/m3
&SYSTEM
  ibrav = 0, nat = 5, ntyp = 3
/
ATOMIC_SPECIES
Zn 65.41 Zn.upf
Ba 137.33 Ba.upf
Ga 69.72 Ga.upf
CELL_PARAMETERS angstrom
4.288 -0.009 1.484
-0.520 4.255 1.488
0.201 0.222 6.371
ATOMIC_POSITIONS crystal
Zn 0.652 0.952 0.405
Zn 0.777 0.580 0.150
Ba 0.402 0.205 0.902
Ga 0.028 0.832 0.650
Zn 0.149 0.455 0.405

Run iv
! BaZn3Ga, relaxed, DFT PBE; values from VASP
! Symmetry   Pm-3m, No. 221
! ρ   5193 kg/m3
&SYSTEM
  ibrav = 0, nat = 5, ntyp = 3
/
ATOMIC_SPECIES
Ba 137.33 Ba.upf
Zn 65.41 Zn.upf
Ga 69.72 Ga.upf
CELL_PARAMETERS angstrom
-2.832 0.841 -4.098
-4.135 0.190 2.897
0.636 4.978 0.582
ATOMIC_POSITIONS crystal
Ba 0.500 0.500 0.500
Zn 0.500 0.000 0.000
Zn 0.000 0.500 0.000
Zn 0.000 0.000 0.500
Ga 0.000 0.000 0.000

Sorted by energy, starting with the most stable: run iii, run ii, run iv, run i.